Density functional theory data (GGA-PBE) for a relaxed Ho2Er crystal.

```
6
Lattice="0.000 4.584 4.584 4.584 0.000 4.584 4.584 4.584 0.000" Properties=species:S:1:pos:R:3 pbc="T T T"
Er 0.000 0.000 0.000
Er 2.292 2.292 2.292
Ho 3.438 3.438 5.730
Ho 3.438 5.730 3.438
Ho 5.730 3.438 3.438
Ho 5.730 5.730 5.730
```

## Properties
Energy of formation in eV/atom: 0.2642
DFT total energy in eV/atom: -4.308
Crystal system: cubic